Compound: CuSi2Pb
Source: the Alexandria database
Functional: PBE
Structure: optimized geometry

Properties
Size of the total moment in μB per atom: 0.000
Crystal system: monoclinic
Volume in Å³/cell: 75.59
ΔE_f (raw) in eV per atom: 0.497

a b c (Å): 5.9567 5.9567 3.7856
angles (deg): 71.74 71.74 127.35
With the nearest neighbours (Å) after each atom.
Element x y z (fractional)
Cu (0.5000, 0.0000, 0.5000)  4 Pb 2.64-2.68
Si (0.0000, 0.0000, 0.0000)  4 Si 2.64-2.68
Si (0.5000, 0.5000, 0.0000)  4 Si 2.64-2.68
Pb (0.0000, 0.5000, 0.5000)  4 Cu 2.64-2.68

=====

Compound: Cu2SiPb
Source: the Alexandria database
Functional: PBE
Structure: optimized geometry

Properties
Size of the total moment in μB per atom: 0.000
Crystal system: monoclinic
Excess energy over the best structure of this formula in the dataset in eV per atom: 0.109
Volume in Å³/cell: 74.44
ΔE_f (raw) in eV per atom: 0.204

a b c (Å): 4.3163 4.3163 5.7272
angles (deg): 81.77 81.77 44.93
With the nearest neighbours (Å) after each atom.
Element x y z (fractional)
Cu (0.0028, 0.0028, 0.0291)  3 Si 2.36-2.40, 3 Cu 2.59
Cu (0.7321, 0.7321, 0.8319)  2 Si 2.39, 3 Cu 2.59
Pb (0.4815, 0.4815, 0.5254)  3 Cu 2.86-2.95, 1 Si 3.03
Si (0.2836, 0.2836, 0.1137)  5 Cu 2.36-2.40

=====

Compound: Cu2SiPb
Source: the Alexandria database
Functional: PBE
Structure: optimized geometry

Properties
Size of the total moment in μB per atom: 0.000
Crystal system: tetragonal
Excess energy over the best structure of this formula in the dataset in eV per atom: 0.357
Volume in Å³/cell: 69.24
ΔE_f (raw) in eV per atom: 0.452

a b c (Å): 5.1642 5.1642 5.1642
angles (deg): 134.38 134.38 66.50
With the nearest neighbours (Å) after each atom.
Element x y z (fractional)
Cu (0.2500, 0.7500, 0.5000)  4 Si 2.83, 4 Pb 2.94, 4 Cu 2.94
Cu (0.0000, 0.0000, 0.0000)  4 Pb 2.83, 4 Cu 2.94, 4 Si 2.94
Si (0.7500, 0.2500, 0.5000)  8 Cu 2.83-2.94, 4 Pb 2.94
Pb (0.5000, 0.5000, 0.0000)  8 Cu 2.83-2.94, 4 Si 2.94